Material: LaSb2Pb2
Method: DFT, GGA-PBE
State: relaxed

```
LaSb2Pb2
1.0
2.2925 -14.3621 0.0000
2.2925 14.3621 0.0000
0.0000 0.0000 4.6591
La Sb Pb
2 4 4
Cartesian
2.2925 9.7035 3.4943
2.2925 -9.7035 1.1648
2.2925 7.1882 1.1648
2.2925 3.9568 3.4943
2.2925 -3.9568 1.1648
2.2925 -7.1882 3.4943
2.2925 12.8676 1.1648
2.2925 1.4332 1.1648
2.2925 -1.4332 3.4943
2.2925 -12.8676 3.4943
```

Space group: Cmcm (63)
ΔE_f (raw) (eV/atom): -0.4923
Total moment (μB/f.u.): 0.000


Material: MgNbIrO6
Method: DFT, GGA-PBE
State: relaxed

```
MgNbIrO6
1.0
4.7342 0.0000 0.0000
0.0000 4.7342 0.0000
0.0000 0.0000 9.2851
Mg Nb Ir O
2 2 2 12
Cartesian
0.0000 0.0000 0.0000
2.3671 2.3671 4.6425
0.0000 0.0000 6.1828
2.3671 2.3671 1.5403
0.0000 0.0000 3.0689
2.3671 2.3671 7.7114
0.9037 0.9037 4.6120
0.9457 0.9457 1.6313
0.9875 0.9875 7.6420
1.3796 3.3546 2.9994
1.4214 3.3129 6.2738
1.4634 3.2709 9.2545
3.2709 1.4634 9.2545
3.3129 1.4214 6.2738
3.3546 1.3796 2.9994
3.7467 3.7467 7.6420
3.7885 3.7885 1.6313
3.8305 3.8305 4.6120
```

Space group: P4_2nm (102)
ΔE_f (raw) (eV/atom): -1.8214
Total moment (μB/f.u.): 0.000


Material: Si2AsIr
Method: DFT, GGA-PBE
State: relaxed

```
Si2AsIr
1.0
1.4019 -2.4695 0.0000
1.4019 2.4695 0.0000
0.0000 0.0000 9.2125
Si As Ir
2 1 1
Cartesian
0.0000 0.0000 0.0000
1.4019 0.0000 2.1499
0.0000 0.0000 4.9360
1.4019 0.0000 7.2281
```

Space group: Cmm2 (35)
ΔE_f (raw) (eV/atom): 0.2876
Total moment (μB/f.u.): 0.000


Material: KNaNb2Ag
Method: DFT, GGA-PBE
State: relaxed

```
KNaNb2Ag
1.0
4.8167 0.0000 0.0000
0.0000 4.8167 0.0000
0.0000 0.0000 4.8190
K Na Nb Ag
1 1 2 1
Cartesian
0.0000 0.0000 0.0000
0.0000 0.0000 2.4095
0.0000 2.4083 0.0000
2.4083 0.0000 0.0000
2.4083 2.4083 2.4095
```

Space group: P4/mmm (123)
Total moment (μB/f.u.): 0.131
VASP energy (eV per atom): -2.80